No. 1
Ca3AgO: relaxed, PBE.

a b c (Å): 5.5791 5.5791 5.5791
angles (deg): 90.00 90.00 90.00
Fractional coordinates of all 5 atoms:
Ca (0.0000, 0.0000, 0.5000)
Ca (0.0000, 0.5000, 0.0000)
Ca (0.5000, 0.0000, 0.0000)
Ag (0.0000, 0.0000, 0.0000)
O (0.5000, 0.5000, 0.5000)

## Properties
Its polymorph energy (0 for the lowest one) is 1.401 eV/atom. As for the raw formation energy: 138.8 meV per atom. As for the total DFT energy (no corrections): -2.624 eV/atom.

No. 2
Ca6Ag2O: relaxed, PBE.

a b c (Å): 6.8589 7.5759 11.7520
angles (deg): 90.00 123.85 90.00
Fractional coordinates of all 18 atoms:
Ca (0.1375, 0.0230, 0.2394)
Ca (0.1375, 0.4770, 0.7394)
Ca (0.2162, 0.7066, 0.0507)
Ca (0.2162, 0.7934, 0.5507)
Ca (0.3501, 0.1742, 0.0481)
Ca (0.3501, 0.3258, 0.5481)
Ca (0.6499, 0.6742, 0.4519)
Ca (0.6499, 0.8258, 0.9519)
Ca (0.7837, 0.2066, 0.4493)
Ca (0.7837, 0.2934, 0.9493)
Ca (0.8625, 0.5230, 0.2606)
Ca (0.8625, 0.9770, 0.7606)
Ag (0.2851, 0.0919, 0.7504)
Ag (0.2851, 0.4081, 0.2504)
Ag (0.7149, 0.5919, 0.7496)
Ag (0.7149, 0.9081, 0.2496)
O (0.0000, 0.0000, 0.0000)
O (0.0000, 0.5000, 0.5000)

## Properties
As for the raw formation energy: -762.8 meV per atom. As for the total DFT energy (no corrections): -3.282 eV/atom.

No. 3
Ca12Ag3O5: relaxed, PBE.

a b c (Å): 13.6452 13.6452 13.6452
angles (deg): 109.47 109.47 109.47
Fractional coordinates of all 80 atoms:
Ca (0.0122, 0.1972, 0.1156)
Ca (0.0122, 0.3150, 0.8965)
Ca (0.0816, 0.6972, 0.6850)
Ca (0.0816, 0.8844, 0.3965)
Ca (0.1035, 0.6156, 0.4184)
Ca (0.1035, 0.9878, 0.6850)
Ca (0.1156, 0.0122, 0.1972)
Ca (0.1156, 0.6035, 0.9184)
Ca (0.1850, 0.1972, 0.5816)
Ca (0.1850, 0.4878, 0.6035)
Ca (0.1972, 0.1156, 0.0122)
Ca (0.1972, 0.5816, 0.1850)
Ca (0.3028, 0.3150, 0.9184)
Ca (0.3028, 0.4878, 0.3844)
Ca (0.3150, 0.8965, 0.0122)
Ca (0.3150, 0.9184, 0.3028)
Ca (0.3844, 0.3028, 0.4878)
Ca (0.3844, 0.5816, 0.8965)
Ca (0.3965, 0.0816, 0.8844)
Ca (0.3965, 0.8150, 0.5122)
Ca (0.4184, 0.1035, 0.6156)
Ca (0.4184, 0.8150, 0.8028)
Ca (0.4878, 0.3844, 0.3028)
Ca (0.4878, 0.6035, 0.1850)
Ca (0.5122, 0.3965, 0.8150)
Ca (0.5122, 0.6156, 0.6972)
Ca (0.5816, 0.1850, 0.1972)
Ca (0.5816, 0.8965, 0.3844)
Ca (0.6035, 0.1850, 0.4878)
Ca (0.6035, 0.9184, 0.1156)
Ca (0.6156, 0.4184, 0.1035)
Ca (0.6156, 0.6972, 0.5122)
Ca (0.6850, 0.0816, 0.6972)
Ca (0.6850, 0.1035, 0.9878)
Ca (0.6972, 0.5122, 0.6156)
Ca (0.6972, 0.6850, 0.0816)
Ca (0.8028, 0.4184, 0.8150)
Ca (0.8028, 0.8844, 0.9878)
Ca (0.8150, 0.5122, 0.3965)
Ca (0.8150, 0.8028, 0.4184)
Ca (0.8844, 0.3965, 0.0816)
Ca (0.8844, 0.9878, 0.8028)
Ca (0.8965, 0.0122, 0.3150)
Ca (0.8965, 0.3844, 0.5816)
Ca (0.9184, 0.1156, 0.6035)
Ca (0.9184, 0.3028, 0.3150)
Ca (0.9878, 0.6850, 0.1035)
Ca (0.9878, 0.8028, 0.8844)
Ag (0.1250, 0.2500, 0.3750)
Ag (0.1250, 0.3750, 0.7500)
Ag (0.2500, 0.3750, 0.1250)
Ag (0.2500, 0.8750, 0.6250)
Ag (0.3750, 0.1250, 0.2500)
Ag (0.3750, 0.7500, 0.1250)
Ag (0.6250, 0.2500, 0.8750)
Ag (0.6250, 0.8750, 0.7500)
Ag (0.7500, 0.1250, 0.3750)
Ag (0.7500, 0.6250, 0.8750)
Ag (0.8750, 0.6250, 0.2500)
Ag (0.8750, 0.7500, 0.6250)
O (0.0000, 0.0000, 0.0000)
O (0.0000, 0.0000, 0.5000)
O (0.0000, 0.5000, 0.0000)
O (0.0000, 0.5000, 0.5000)
O (0.1250, 0.7500, 0.8750)
O (0.1250, 0.8750, 0.2500)
O (0.2500, 0.1250, 0.8750)
O (0.2500, 0.6250, 0.3750)
O (0.3750, 0.2500, 0.6250)
O (0.3750, 0.6250, 0.7500)
O (0.5000, 0.0000, 0.0000)
O (0.5000, 0.0000, 0.5000)
O (0.5000, 0.5000, 0.0000)
O (0.5000, 0.5000, 0.5000)
O (0.6250, 0.3750, 0.2500)
O (0.6250, 0.7500, 0.3750)
O (0.7500, 0.3750, 0.6250)
O (0.7500, 0.8750, 0.1250)
O (0.8750, 0.1250, 0.7500)
O (0.8750, 0.2500, 0.1250)

## Properties
As for the raw formation energy: -1423.2 meV per atom. As for the total DFT energy (no corrections): -4.291 eV/atom.

No. 4
Ca3AgO: relaxed, PBE.

a b c (Å): 4.8490 4.8490 4.8490
angles (deg): 90.00 90.00 90.00
Fractional coordinates of all 5 atoms:
Ca (0.0000, 0.0000, 0.5000)
Ca (0.0000, 0.5000, 0.0000)
Ca (0.5000, 0.0000, 0.0000)
Ag (0.5000, 0.5000, 0.5000)
O (0.0000, 0.0000, 0.0000)

## Properties
Its polymorph energy (0 for the lowest one) is 0.000 eV/atom. As for the raw formation energy: -1262.2 meV per atom. As for the total DFT energy (no corrections): -4.025 eV/atom.

No. 5
Ca5AgO6: relaxed, PBE.

a b c (Å): 5.8719 5.8719 6.0046
angles (deg): 101.02 101.02 118.48
Fractional coordinates of all 12 atoms:
Ca (0.0000, 0.0000, 0.0000)
Ca (0.1644, 0.8356, 0.5000)
Ca (0.3385, 0.6615, 0.0000)
Ca (0.6615, 0.3385, 0.0000)
Ca (0.8356, 0.1644, 0.5000)
Ag (0.5000, 0.5000, 0.5000)
O (0.0849, 0.4217, 0.2516)
O (0.2333, 0.2333, 0.7694)
O (0.4217, 0.0849, 0.2516)
O (0.5783, 0.9151, 0.7484)
O (0.7667, 0.7667, 0.2306)
O (0.9151, 0.5783, 0.7484)

## Properties
As for the raw formation energy: -2452.8 meV per atom. As for the total DFT energy (no corrections): -6.003 eV/atom.

No. 6
Ca2AgOsO6: relaxed, PBE.

a b c (Å): 6.0790 6.0790 6.0790
angles (deg): 56.24 56.24 56.24
Fractional coordinates of all 10 atoms:
Ca (0.0000, 0.0000, 0.0000)
Ca (0.4873, 0.4873, 0.4873)
Ag (0.2408, 0.2408, 0.2408)
Os (0.6892, 0.6892, 0.6892)
O (0.0269, 0.4654, 0.7640)
O (0.3392, 0.8682, 0.6151)
O (0.4654, 0.7640, 0.0269)
O (0.6151, 0.3392, 0.8682)
O (0.7640, 0.0269, 0.4654)
O (0.8682, 0.6151, 0.3392)

## Properties
As for the raw formation energy: -1686.5 meV per atom. As for the total DFT energy (no corrections): -6.470 eV/atom.

No. 7
CaAg2OsO6: relaxed, PBE.

a b c (Å): 5.7015 5.6914 9.9493
angles (deg): 90.00 124.43 90.00
Fractional coordinates of all 20 atoms:
Ca (0.0000, 0.0000, 0.0000)
Ca (0.0000, 0.5000, 0.5000)
Ag (0.2412, 0.0218, 0.7461)
Ag (0.2412, 0.4782, 0.2461)
Ag (0.7588, 0.5218, 0.7539)
Ag (0.7588, 0.9782, 0.2539)
Os (0.5000, 0.0000, 0.5000)
Os (0.5000, 0.5000, 0.0000)
O (0.1945, 0.0590, 0.2795)
O (0.1945, 0.4410, 0.7795)
O (0.2488, 0.6558, 0.0365)
O (0.2488, 0.8442, 0.5365)
O (0.4143, 0.2156, 0.0595)
O (0.4143, 0.2844, 0.5595)
O (0.5857, 0.7156, 0.4405)
O (0.5857, 0.7844, 0.9405)
O (0.7512, 0.1558, 0.4635)
O (0.7512, 0.3442, 0.9635)
O (0.8055, 0.5590, 0.2205)
O (0.8055, 0.9410, 0.7205)

## Properties
As for the raw formation energy: -1067.8 meV per atom. As for the total DFT energy (no corrections): -5.936 eV/atom.

No. 8
CaAgPO2: relaxed, PBE.

a b c (Å): 4.2411 4.2411 4.6713
angles (deg): 90.00 90.00 90.00
Fractional coordinates of all 5 atoms:
Ca (0.0000, 0.0000, 0.0000)
Ag (0.5000, 0.5000, 0.5000)
P (0.5000, 0.5000, 0.0000)
O (0.0000, 0.5000, 0.5000)
O (0.5000, 0.0000, 0.5000)

## Properties
Its polymorph energy (0 for the lowest one) is 0.000 eV/atom. As for the raw formation energy: -187.0 meV per atom. As for the total DFT energy (no corrections): -4.223 eV/atom.

No. 9
CaAgPO4: relaxed, PBE.

a b c (Å): 6.2870 6.2870 6.2870
angles (deg): 124.71 109.20 95.84
Fractional coordinates of all 14 atoms:
Ca (0.0000, 0.0000, 0.0000)
Ca (0.5000, 0.0000, 0.5000)
Ag (0.5000, 0.0000, 0.0000)
Ag (0.5000, 0.5000, 0.5000)
P (0.1299, 0.3799, 0.7500)
P (0.8701, 0.6201, 0.2500)
O (0.1464, 0.7199, 0.4266)
O (0.2067, 0.2801, 0.9266)
O (0.2412, 0.2684, 0.5272)
O (0.2412, 0.7140, 0.9728)
O (0.7588, 0.2860, 0.0272)
O (0.7588, 0.7316, 0.4728)
O (0.7933, 0.7199, 0.0734)
O (0.8536, 0.2801, 0.5734)

## Properties
As for the raw formation energy: -2071.4 meV per atom. As for the total DFT energy (no corrections): -6.371 eV/atom.

No. 10
CaAgP2O: relaxed, PBE.

a b c (Å): 5.3674 5.3674 4.1699
angles (deg): 90.00 90.00 90.00
Fractional coordinates of all 5 atoms:
Ca (0.0000, 0.0000, 0.0000)
Ag (0.5000, 0.5000, 0.5000)
P (0.0000, 0.5000, 0.0000)
P (0.5000, 0.0000, 0.0000)
O (0.0000, 0.0000, 0.5000)

## Properties
Its polymorph energy (0 for the lowest one) is 0.463 eV/atom. As for the raw formation energy: 626.9 meV per atom. As for the total DFT energy (no corrections): -3.499 eV/atom.

No. 11
CaAgP2O: relaxed, PBE.

a b c (Å): 4.8706 4.8706 4.2215
angles (deg): 90.00 90.00 90.00
Fractional coordinates of all 5 atoms:
Ca (0.0000, 0.0000, 0.0000)
Ag (0.5000, 0.5000, 0.5000)
P (0.0000, 0.5000, 0.5000)
P (0.5000, 0.0000, 0.5000)
O (0.5000, 0.5000, 0.0000)

## Properties
Its polymorph energy (0 for the lowest one) is 0.000 eV/atom. As for the raw formation energy: 164.2 meV per atom. As for the total DFT energy (no corrections): -3.962 eV/atom.

No. 12
CaAgP2O6: relaxed, PBE.

a b c (Å): 6.9889 6.9889 7.5049
angles (deg): 107.35 107.35 101.36
Fractional coordinates of all 20 atoms:
Ca (0.0622, 0.9378, 0.7500)
Ca (0.9378, 0.0622, 0.2500)
Ag (0.4883, 0.5117, 0.7500)
Ag (0.5117, 0.4883, 0.2500)
P (0.1314, 0.4463, 0.7738)
P (0.4463, 0.1314, 0.2738)
P (0.5537, 0.8686, 0.7262)
P (0.8686, 0.5537, 0.2262)
O (0.0203, 0.5965, 0.7207)
O (0.0479, 0.2176, 0.6208)
O (0.2176, 0.0479, 0.1208)
O (0.2234, 0.4708, 0.9924)
O (0.4035, 0.9797, 0.7793)
O (0.4708, 0.2234, 0.4924)
O (0.5292, 0.7766, 0.5076)
O (0.5965, 0.0203, 0.2207)
O (0.7766, 0.5292, 0.0076)
O (0.7824, 0.9521, 0.8792)
O (0.9521, 0.7824, 0.3792)
O (0.9797, 0.4035, 0.2793)

## Properties
As for the raw formation energy: -1896.0 meV per atom. As for the total DFT energy (no corrections): -6.438 eV/atom.

No. 13
CaAgPO2: relaxed, PBE.

a b c (Å): 4.2584 4.2584 6.0459
angles (deg): 90.00 90.00 90.00
Fractional coordinates of all 5 atoms:
Ca (0.0000, 0.0000, 0.0000)
Ag (0.5000, 0.5000, 0.5000)
P (0.0000, 0.0000, 0.5000)
O (0.0000, 0.5000, 0.0000)
O (0.5000, 0.0000, 0.0000)

## Properties
Its polymorph energy (0 for the lowest one) is 0.257 eV/atom. As for the raw formation energy: 69.9 meV per atom. As for the total DFT energy (no corrections): -3.966 eV/atom.

No. 14
Ca10AgP7O28: relaxed, PBE.

a b c (Å): 13.9613 13.9613 13.9613
angles (deg): 44.37 44.37 44.37
Fractional coordinates of all 92 atoms:
Ca (0.0000, 0.0000, 0.0000)
Ca (0.0303, 0.0537, 0.4391)
Ca (0.0537, 0.4391, 0.0303)
Ca (0.0630, 0.6497, 0.0922)
Ca (0.0922, 0.0630, 0.6497)
Ca (0.1497, 0.5630, 0.5922)
Ca (0.3437, 0.9258, 0.9352)
Ca (0.4258, 0.8437, 0.4352)
Ca (0.4352, 0.4258, 0.8437)
Ca (0.4391, 0.0303, 0.0537)
Ca (0.5000, 0.5000, 0.5000)
Ca (0.5303, 0.9391, 0.5537)
Ca (0.5537, 0.5303, 0.9391)
Ca (0.5630, 0.5922, 0.1497)
Ca (0.5922, 0.1497, 0.5630)
Ca (0.6497, 0.0922, 0.0630)
Ca (0.8437, 0.4352, 0.4258)
Ca (0.9258, 0.9352, 0.3437)
Ca (0.9352, 0.3437, 0.9258)
Ca (0.9391, 0.5537, 0.5303)
Ag (0.3205, 0.3205, 0.3205)
Ag (0.8205, 0.8205, 0.8205)
P (0.1736, 0.6943, 0.7333)
P (0.1943, 0.6736, 0.2333)
P (0.2333, 0.1943, 0.6736)
P (0.2338, 0.2338, 0.2338)
P (0.2744, 0.8157, 0.3138)
P (0.3138, 0.2744, 0.8157)
P (0.3157, 0.7744, 0.8138)
P (0.6736, 0.2333, 0.1943)
P (0.6943, 0.7333, 0.1736)
P (0.7333, 0.1736, 0.6943)
P (0.7338, 0.7338, 0.7338)
P (0.7744, 0.8138, 0.3157)
P (0.8138, 0.3157, 0.7744)
P (0.8157, 0.3138, 0.2744)
O (0.0893, 0.6524, 0.7408)
O (0.1023, 0.8592, 0.4061)
O (0.1064, 0.6591, 0.3966)
O (0.1080, 0.3890, 0.2437)
O (0.1137, 0.8666, 0.6624)
O (0.1311, 0.8483, 0.1366)
O (0.1366, 0.1311, 0.8483)
O (0.1404, 0.8570, 0.8773)
O (0.1432, 0.3306, 0.8778)
O (0.1524, 0.5893, 0.2408)
O (0.1591, 0.6064, 0.8967)
O (0.1624, 0.3666, 0.6137)
O (0.1925, 0.1925, 0.1925)
O (0.2408, 0.1524, 0.5893)
O (0.2437, 0.1080, 0.3890)
O (0.3120, 0.8810, 0.3330)
O (0.3306, 0.8778, 0.1432)
O (0.3330, 0.3120, 0.8810)
O (0.3483, 0.6311, 0.6366)
O (0.3570, 0.6404, 0.3773)
O (0.3592, 0.6023, 0.9061)
O (0.3666, 0.6137, 0.1624)
O (0.3773, 0.3570, 0.6404)
O (0.3778, 0.8306, 0.6432)
O (0.3810, 0.8120, 0.8330)
O (0.3890, 0.2437, 0.1080)
O (0.3967, 0.1064, 0.6591)
O (0.4061, 0.1023, 0.8592)
O (0.5893, 0.2408, 0.1524)
O (0.6023, 0.9061, 0.3592)
O (0.6064, 0.8966, 0.1591)
O (0.6080, 0.7437, 0.8890)
O (0.6137, 0.1624, 0.3666)
O (0.6311, 0.6366, 0.3483)
O (0.6366, 0.3483, 0.6311)
O (0.6404, 0.3773, 0.3570)
O (0.6432, 0.3778, 0.8306)
O (0.6524, 0.7408, 0.0893)
O (0.6591, 0.3966, 0.1064)
O (0.6624, 0.1137, 0.8666)
O (0.6925, 0.6925, 0.6925)
O (0.7408, 0.0893, 0.6524)
O (0.7437, 0.8890, 0.6080)
O (0.8120, 0.8330, 0.3810)
O (0.8306, 0.6432, 0.3778)
O (0.8330, 0.3810, 0.8120)
O (0.8483, 0.1366, 0.1311)
O (0.8570, 0.8773, 0.1404)
O (0.8592, 0.4061, 0.1023)
O (0.8666, 0.6624, 0.1137)
O (0.8773, 0.1404, 0.8570)
O (0.8778, 0.1432, 0.3306)
O (0.8810, 0.3330, 0.3120)
O (0.8890, 0.6080, 0.7437)
O (0.8967, 0.1591, 0.6064)
O (0.9061, 0.3592, 0.6023)

## Properties
As for the raw formation energy: -2796.1 meV per atom. As for the total DFT energy (no corrections): -7.134 eV/atom.

No. 15
CaPaAg2O8: relaxed, PBE.

a b c (Å): 6.2430 6.2430 6.2430
angles (deg): 107.34 107.34 113.82
Fractional coordinates of all 12 atoms:
Ca (0.0000, 0.0000, 0.0000)
Pa (0.2500, 0.7500, 0.5000)
Ag (0.5000, 0.5000, 0.0000)
Ag (0.7500, 0.2500, 0.5000)
O (0.2814, 0.0889, 0.8075)
O (0.2814, 0.4739, 0.1925)
O (0.3410, 0.0166, 0.3245)
O (0.5261, 0.7186, 0.8075)
O (0.6921, 0.0166, 0.6755)
O (0.9111, 0.7186, 0.1925)
O (0.9834, 0.3079, 0.3245)
O (0.9834, 0.6590, 0.6755)

## Properties
As for the raw formation energy: -1152.2 meV per atom. As for the total DFT energy (no corrections): -5.891 eV/atom.